Entry 1:
## Pm3SmHo2Bi6 (PBE)

Data for a geometry-optimized Pm3SmHo2Bi6 structure.

a = 4.538 Å, b = 9.071 Å, c = 10.139 Å
α = 102.84°, β = 102.93°, γ = 90.00°
Element x y z (fractional)
Bi 0.332 0.421 0.663
Bi 0.998 0.750 0.995
Bi 0.668 0.579 0.337
Bi 0.333 0.911 0.666
Bi 0.002 0.250 0.005
Bi 0.667 0.089 0.334
Ho 0.833 0.666 0.666
Ho 0.167 0.334 0.334
Sm 0.500 0.000 0.000
Pm 0.834 0.167 0.668
Pm 0.500 0.500 0.000
Pm 0.166 0.833 0.332

formation enthalpy at 0 K: -10.8 eV/f.u.



Entry 2:
## BeTc2Cl (PBE)

Data for a geometry-optimized BeTc2Cl structure.

a = 5.102 Å, b = 5.102 Å, c = 5.102 Å
α = 147.26°, β = 131.06°, γ = 60.13°
Element x y z (fractional)
Cl 0.236 0.736 0.500
Be 0.513 0.513 0.000
Tc 0.007 0.007 0.000
Tc 0.744 0.244 0.500

E_form (uncorrected): 0.60 eV/atom
excess energy over the best structure of this formula in the dataset: 502.7 meV/atom



Entry 3:
## Tb4Ho5Sc3 (PBE)

Data for a geometry-optimized Tb4Ho5Sc3 structure.

a = 5.696 Å, b = 8.427 Å, c = 9.347 Å
α = 106.05°, β = 72.26°, γ = 70.25°
Last column: magnetic moment on the atom in μB.
Element x y z (fractional)
Tb 0.140 0.777 0.943  0.01
Tb 0.164 0.052 0.620  0.00
Tb 0.860 0.223 0.057  0.01
Tb 0.836 0.948 0.380  0.00
Sc 0.000 0.500 0.500  0.25
Sc 0.520 0.695 0.265  0.02
Sc 0.480 0.305 0.735  0.02
Ho 0.795 0.531 0.878  0.02
Ho 0.362 0.065 0.212  0.01
Ho 0.500 0.500 0.500  0.20
Ho 0.638 0.935 0.788  0.01
Ho 0.205 0.469 0.122  0.02

formation enthalpy at 0 K: 2.6 eV/f.u.



Values of size of the total moment, in order: 0.000, 0.000, 0.675, all in μB/cell.